# RhW3 | Alexandria via LeMat-Bulk | PBE | relaxed
# DFT formation energy, eV/atom: 0.12
# Spin magnetization, μB/cell: 0.0
data_RhW3
_chemical_formula_sum 'Rh1 W3'
_cell_length_a 4.884
_cell_length_b 4.884
_cell_length_c 4.966
_cell_angle_alpha 81.32
_cell_angle_beta 81.32
_cell_angle_gamma 32.59
_symmetry_space_group_name_H-M 'P 1'
_symmetry_Int_Tables_number 1
_symmetry_space_group_name_Hall 'P 1'
loop_
_atom_site_label
_atom_site_type_symbol
_atom_site_fract_x
_atom_site_fract_y
_atom_site_fract_z
W1 W 0.260 0.260 0.244
Rh1 Rh 0.000 0.000 0.000
W2 W 0.500 0.500 0.500
W3 W 0.740 0.740 0.756


# RhW | Alexandria via LeMat-Bulk | PBE | relaxed
# DFT formation energy, eV/atom: 0.43
# Spin magnetization, μB/cell: 0.0
data_RhW
_chemical_formula_sum 'Rh8 W8'
_cell_length_a 9.719
_cell_length_b 9.719
_cell_length_c 2.742
_cell_angle_alpha 90.00
_cell_angle_beta 90.00
_cell_angle_gamma 90.00
_symmetry_space_group_name_H-M 'P 1'
_symmetry_Int_Tables_number 1
_symmetry_space_group_name_Hall 'P 1'
loop_
_atom_site_label
_atom_site_type_symbol
_atom_site_fract_x
_atom_site_fract_y
_atom_site_fract_z
W1 W 0.608 0.662 0.000
W2 W 0.662 0.392 0.000
Rh1 Rh 0.859 0.600 0.000
Rh2 Rh 0.641 0.900 0.500
Rh3 Rh 0.900 0.359 0.500
W3 W 0.108 0.162 0.500
Rh4 Rh 0.600 0.141 0.000
Rh5 Rh 0.400 0.859 0.000
W4 W 0.162 0.892 0.500
W5 W 0.392 0.338 0.000
Rh6 Rh 0.141 0.400 0.000
W6 W 0.892 0.838 0.500
Rh7 Rh 0.100 0.641 0.500
W7 W 0.338 0.608 0.000
Rh8 Rh 0.359 0.100 0.500
W8 W 0.838 0.108 0.500


# RhW3 | Alexandria via LeMat-Bulk | PBE | relaxed
# DFT formation energy, eV/atom: 0.18
# Spin magnetization, μB/cell: 0.0
data_RhW3
_chemical_formula_sum 'Rh1 W3'
_cell_length_a 2.794
_cell_length_b 2.794
_cell_length_c 9.360
_cell_angle_alpha 90.00
_cell_angle_beta 90.00
_cell_angle_gamma 120.00
_symmetry_space_group_name_H-M 'P 1'
_symmetry_Int_Tables_number 1
_symmetry_space_group_name_Hall 'P 1'
loop_
_atom_site_label
_atom_site_type_symbol
_atom_site_fract_x
_atom_site_fract_y
_atom_site_fract_z
W1 W 0.333 0.667 0.238
W2 W 0.000 0.000 0.500
Rh1 Rh 0.000 0.000 0.000
W3 W 0.333 0.667 0.762


# RhW | Alexandria via LeMat-Bulk | PBE | relaxed
# DFT formation energy, eV/atom: 1.07
# Spin magnetization, μB/cell: 0.0
data_RhW
_chemical_formula_sum 'Rh2 W2'
_cell_length_a 4.398
_cell_length_b 4.398
_cell_length_c 4.923
_cell_angle_alpha 90.00
_cell_angle_beta 90.00
_cell_angle_gamma 120.00
_symmetry_space_group_name_H-M 'P 1'
_symmetry_Int_Tables_number 1
_symmetry_space_group_name_Hall 'P 1'
loop_
_atom_site_label
_atom_site_type_symbol
_atom_site_fract_x
_atom_site_fract_y
_atom_site_fract_z
W1 W 0.333 0.667 0.750
W2 W 0.667 0.333 0.250
Rh1 Rh 0.333 0.667 0.250
Rh2 Rh 0.667 0.333 0.750


# RhW3 | Alexandria via LeMat-Bulk | PBE | relaxed
# DFT formation energy, eV/atom: 0.13
# Spin magnetization, μB/cell: 0.0
data_RhW3
_chemical_formula_sum 'Rh1 W3'
_cell_length_a 5.120
_cell_length_b 5.120
_cell_length_c 5.120
_cell_angle_alpha 141.88
_cell_angle_beta 129.30
_cell_angle_gamma 65.16
_symmetry_space_group_name_H-M 'P 1'
_symmetry_Int_Tables_number 1
_symmetry_space_group_name_Hall 'P 1'
loop_
_atom_site_label
_atom_site_type_symbol
_atom_site_fract_x
_atom_site_fract_y
_atom_site_fract_z
W1 W 0.760 0.760 0.000
W2 W 0.000 0.500 0.500
W3 W 0.240 0.240 0.000
Rh1 Rh 0.500 0.000 0.500


# RhW2 | Alexandria via LeMat-Bulk | PBE | relaxed
# DFT formation energy, eV/atom: -0.04
# Spin magnetization, μB/cell: 0.0
data_RhW2
_chemical_formula_sum 'Rh1 W2'
_cell_length_a 6.462
_cell_length_b 6.462
_cell_length_c 6.462
_cell_angle_alpha 155.50
_cell_angle_beta 155.50
_cell_angle_gamma 34.93
_symmetry_space_group_name_H-M 'P 1'
_symmetry_Int_Tables_number 1
_symmetry_space_group_name_Hall 'P 1'
loop_
_atom_site_label
_atom_site_type_symbol
_atom_site_fract_x
_atom_site_fract_y
_atom_site_fract_z
W1 W 0.340 0.340 0.000
W2 W 0.660 0.660 0.000
Rh1 Rh 0.000 0.000 0.000